Entry 1:
PmEr3Al8 | PBE | optimized geometry

a b c (Å): 5.5527 5.5527 9.6662
angles (deg): 73.31 73.31 60.00
Last column: nearest neighbours and their distance in Å.
Positions (direct):
Pm  0.8750  0.8750  0.3751  12 Al 3.26-3.29, 4 Er 3.41-3.43
Er  0.3755  0.3755  0.8736  12 Al 3.24-3.26, 4 Er 3.39-3.41
Er  0.0002  0.0002  0.9995  12 Al 3.24-3.26, 3 Er 3.41, 1 Pm 3.43
Er  0.4993  0.4993  0.5021  12 Al 3.26-3.31, 1 Er 3.39, 3 Pm 3.41
Al  0.9388  0.4382  0.1848  6 Al 2.77-2.81
Al  0.4359  0.9370  0.6900  6 Al 2.76-2.80
Al  0.4382  0.4382  0.1848  6 Al 2.77-2.81
Al  0.9370  0.9370  0.6900  6 Al 2.76-2.80
Al  0.1872  0.1872  0.4385  6 Al 2.80-2.81
Al  0.6877  0.6877  0.9368  6 Al 2.76-2.77
Al  0.4382  0.9388  0.1848  6 Al 2.77-2.81
Al  0.9370  0.4359  0.6900  6 Al 2.76-2.80

energy above the most stable polymorph in this dataset: 0 meV/atom

=====

Entry 2:
Pm2Er4Al | PBE | optimized geometry

a b c (Å): 3.5915 3.5915 19.1209
angles (deg): 84.61 84.61 60.00
Last column: nearest neighbours and their distance in Å.
Positions (direct):
Pm  0.8062  0.8062  0.5813  3 Er 3.54, 9 Pm 3.59-3.72
Pm  0.1938  0.1938  0.4187  3 Er 3.54, 9 Pm 3.59-3.72
Er  0.7057  0.7057  0.8828  3 Al 3.04
Er  0.9108  0.9108  0.2676  9 Er 3.53-3.59, 3 Pm 3.54
Er  0.2943  0.2943  0.1172  3 Al 3.04
Er  0.0892  0.0892  0.7324  9 Er 3.53-3.59, 3 Pm 3.54
Al  0.0000  0.0000  0.0000  6 Er 3.04

=====

Entry 3:
Pm3ErAl | PBE | optimized geometry

a b c (Å): 3.6621 6.8319 12.5390
angles (deg): 84.59 90.00 74.45
Last column: nearest neighbours and their distance in Å.
Positions (direct):
Pm  0.1424  0.7152  0.4465  4 Al 3.17-3.20, 3 Pm 3.31-3.53
Pm  0.3631  0.2737  0.0214  9 Pm 3.49-3.69, 3 Er 3.69-3.78
Pm  0.0369  0.9263  0.1957  2 Al 3.25, 5 Pm 3.31-3.63, 1 Er 3.51
Pm  0.8576  0.2848  0.5535  4 Al 3.17-3.20, 3 Pm 3.31-3.53
Pm  0.9631  0.0737  0.8043  2 Al 3.25, 5 Pm 3.31-3.63, 1 Er 3.51
Pm  0.6369  0.7263  0.9786  9 Pm 3.49-3.69, 3 Er 3.69-3.78
Er  0.2187  0.5626  0.7460  2 Al 3.14, 1 Pm 3.51
Er  0.7813  0.4374  0.2540  2 Al 3.14, 1 Pm 3.51
Al  0.5530  0.8940  0.6212  2 Er 3.14, 6 Pm 3.17-3.25, 1 Al 3.22
Al  0.4470  0.1060  0.3788  2 Er 3.14, 6 Pm 3.17-3.25, 1 Al 3.22

energy above the most stable polymorph in this dataset: 0 meV/atom

=====

Entry 4:
PmEr4Al3 | PBE | optimized geometry

a b c (Å): 3.3438 8.4790 8.7182
angles (deg): 119.09 101.06 90.00
Last column: nearest neighbours and their distance in Å.
Positions (direct):
Pm  0.5000  0.0000  0.0000  4 Al 3.22, 4 Er 3.33, 2 Pm 3.34
Er  0.3582  0.5542  0.7165  5 Al 3.07-3.16, 3 Er 3.32-3.34, 1 Pm 3.33
Er  0.6418  0.4458  0.2835  5 Al 3.07-3.16, 3 Er 3.32-3.34, 1 Pm 3.33
Er  0.6418  0.8378  0.2836  5 Al 3.07-3.16, 3 Er 3.32-3.34, 1 Pm 3.33
Er  0.3582  0.1622  0.7164  5 Al 3.07-3.16, 3 Er 3.32-3.34, 1 Pm 3.33
Al  0.0000  0.5000  0.0000  8 Er 3.16, 2 Al 3.34
Al  0.1848  0.1848  0.3697  6 Er 3.07-3.14, 2 Pm 3.22, 2 Al 3.34
Al  0.8152  0.8152  0.6303  6 Er 3.07-3.14, 2 Pm 3.22, 2 Al 3.34

=====

Entry 5:
Pm8Er2Al | PBE | optimized geometry

a b c (Å): 5.4740 8.0369 9.2539
angles (deg): 111.79 107.20 90.00
Last column: nearest neighbours and their distance in Å.
Positions (direct):
Pm  0.3921  0.5777  0.7843  1 Al 3.18, 2 Er 3.33, 2 Pm 3.45
Pm  0.6599  0.9101  0.3198  1 Al 3.18, 1 Pm 3.43, 1 Er 3.45
Pm  0.8238  0.7816  0.6476  8 Pm 3.42-3.79, 3 Er 3.42-3.48
Pm  0.9861  0.2353  0.9721  2 Al 3.39, 6 Pm 3.42-3.66, 1 Er 3.58
Pm  0.1762  0.2184  0.3524  8 Pm 3.42-3.79, 3 Er 3.42-3.48
Pm  0.3401  0.0899  0.6802  1 Al 3.18, 1 Pm 3.43, 1 Er 3.45
Pm  0.6079  0.4223  0.2157  1 Al 3.18, 2 Er 3.33, 2 Pm 3.45
Pm  0.0139  0.7647  0.0279  2 Al 3.39, 6 Pm 3.42-3.66, 1 Er 3.58
Er  0.8079  0.3436  0.6158  9 Pm 3.33-3.59
Er  0.1921  0.6564  0.3842  9 Pm 3.33-3.59
Al  0.5000  0.0000  0.0000  8 Pm 3.18-3.39

=====

Entry 6:
Pm4ErAl2 | PBE | optimized geometry

a b c (Å): 5.1141 5.1141 10.6300
angles (deg): 76.08 76.08 60.00
Last column: nearest neighbours and their distance in Å.
Positions (direct):
Pm  0.7020  0.7020  0.8938  4 Al 3.12-3.18
Pm  0.8950  0.8950  0.3150  3 Al 3.16, 3 Er 3.51
Pm  0.2980  0.2980  0.1062  4 Al 3.12-3.18
Pm  0.1050  0.1050  0.6850  3 Al 3.16, 3 Er 3.51
Er  0.5000  0.5000  0.5000  2 Al 3.01
Al  0.5983  0.5983  0.2051  1 Er 3.01, 7 Pm 3.12-3.18
Al  0.4017  0.4017  0.7949  1 Er 3.01, 7 Pm 3.12-3.18

=====

Entry 7:
PmErAl3 | PBE | optimized geometry

a b c (Å): 4.5540 3.6408 13.9231
angles (deg): 97.51 90.00 90.00
Last column: nearest neighbours and their distance in Å.
Positions (direct):
Pm  0.2500  0.0729  0.1458  12 Al 3.20-3.32
Pm  0.7500  0.9271  0.8542  12 Al 3.20-3.32
Er  0.2500  0.7884  0.5768  7 Al 3.10-3.17
Er  0.7500  0.2116  0.4232  7 Al 3.10-3.17
Al  0.2500  0.3792  0.7585  3 Al 2.67-2.70
Al  0.7500  0.6208  0.2415  3 Al 2.67-2.70
Al  0.2500  0.4758  0.9515  3 Al 2.64-2.67
Al  0.7500  0.5242  0.0485  3 Al 2.64-2.67
Al  0.7500  0.3265  0.6530  2 Al 2.70
Al  0.2500  0.6735  0.3470  2 Al 2.70

=====

Entry 8:
Pm2Er2Al3 | PBE | optimized geometry

a b c (Å): 3.4492 3.4467 15.4074
angles (deg): 90.00 83.57 90.00
Last column: nearest neighbours and their distance in Å.
Positions (direct):
Pm  0.5677  0.5000  0.8647  8 Al 3.20-3.24, 4 Pm 3.45
Pm  0.4323  0.5000  0.1353  8 Al 3.20-3.24, 4 Pm 3.45
Er  0.6987  0.5000  0.6025  4 Al 3.08, 4 Er 3.45
Er  0.3013  0.5000  0.3975  4 Al 3.08, 4 Er 3.45
Al  0.8627  0.0000  0.2745  4 Er 3.08, 4 Pm 3.24, 4 Al 3.45
Al  0.0000  0.0000  0.0000  8 Pm 3.20, 4 Al 3.45
Al  0.1373  0.0000  0.7255  4 Er 3.08, 4 Pm 3.24, 4 Al 3.45

=====

Entry 9:
Pm3ErAl2 | PBE | optimized geometry

a b c (Å): 4.9259 8.8511 9.1137
angles (deg): 119.05 105.68 90.00
Last column: nearest neighbours and their distance in Å.
Positions (direct):
Pm  0.5000  0.2500  0.0000  4 Al 3.21, 4 Er 3.31
Pm  0.5000  0.7500  0.0000  4 Al 3.21, 4 Er 3.31
Pm  0.8242  0.0742  0.6484  6 Al 3.33-3.40, 4 Pm 3.34-3.63, 2 Er 3.46
Pm  0.1758  0.4258  0.3516  6 Al 3.33-3.40, 4 Pm 3.34-3.63, 2 Er 3.46
Pm  0.1758  0.9258  0.3516  6 Al 3.33-3.40, 4 Pm 3.34-3.63, 2 Er 3.46
Pm  0.8242  0.5742  0.6484  6 Al 3.33-3.40, 4 Pm 3.34-3.63, 2 Er 3.46
Er  0.0000  0.5000  0.0000  8 Pm 3.31-3.46, 4 Al 3.39
Er  0.0000  0.0000  0.0000  8 Pm 3.31-3.46, 4 Al 3.39
Al  0.3464  0.3464  0.6928  8 Pm 3.21-3.40, 2 Er 3.39
Al  0.6536  0.1536  0.3072  8 Pm 3.21-3.40, 2 Er 3.39
Al  0.3464  0.8464  0.6928  8 Pm 3.21-3.40, 2 Er 3.39
Al  0.6536  0.6536  0.3072  8 Pm 3.21-3.40, 2 Er 3.39

energy above the most stable polymorph in this dataset: 74 meV/atom

=====

Entry 10:
PmEr3Al8 | PBE | optimized geometry

a b c (Å): 5.5539 5.5539 9.1192
angles (deg): 90.00 90.00 120.00
Last column: nearest neighbours and their distance in Å.
Positions (direct):
Pm  0.0000  0.0000  0.5679  12 Al 3.25-3.31, 4 Er 3.32-3.44
Er  0.6667  0.3333  0.4307  12 Al 3.24-3.33, 1 Er 3.32, 3 Pm 3.44
Er  0.6667  0.3333  0.0666  12 Al 3.23-3.26, 4 Er 3.32-3.43
Er  0.0000  0.0000  0.9325  12 Al 3.22-3.27, 1 Pm 3.32, 3 Er 3.43
Al  0.3333  0.6667  0.4985  6 Al 2.82-2.85
Al  0.3333  0.6667  0.0014  6 Al 2.79-2.80
Al  0.5045  0.0090  0.7531  6 Al 2.70-2.85
Al  0.5045  0.4955  0.7531  6 Al 2.70-2.85
Al  0.9910  0.4955  0.7531  6 Al 2.70-2.85
Al  0.1621  0.3243  0.2477  6 Al 2.70-2.85
Al  0.1621  0.8379  0.2477  6 Al 2.70-2.85
Al  0.6757  0.8379  0.2477  6 Al 2.70-2.85

energy above the most stable polymorph in this dataset: 9 meV/atom

=====

Number 1: DOS(E_F) 0.8397 states/eV/atom, energy relative to the elements -6.07 eV/f.u.. Number 2: DOS(E_F) 1.5476 states/eV/atom, energy relative to the elements -0.22 eV/f.u.. Number 3: DOS(E_F) 1.3092 states/eV/atom, energy relative to the elements -0.61 eV/f.u.. Number 4: DOS(E_F) 0.9224 states/eV/atom, energy relative to the elements -1.04 eV/f.u.. Number 5: DOS(E_F) 1.3161 states/eV/atom, energy relative to the elements 0.35 eV/f.u.. Number 6: DOS(E_F) 1.7329 states/eV/atom, energy relative to the elements 0.73 eV/f.u.. Number 7: DOS(E_F) 0.6205 states/eV/atom, energy relative to the elements -2.24 eV/f.u.. Number 8: DOS(E_F) 0.8188 states/eV/atom, energy relative to the elements -1.73 eV/f.u.. Number 9: DOS(E_F) 1.0405 states/eV/atom, energy relative to the elements -1.16 eV/f.u.. Number 10: DOS(E_F) 0.4751 states/eV/atom, energy relative to the elements -5.96 eV/f.u..